Record 1
! PBE with a Hubbard U Na3Ho3CoO8, optimized geometry; values from VASP
&SYSTEM
  ibrav = 0, nat = 15, ntyp = 4
/
ATOMIC_SPECIES
O 16.00 O.upf
Co 58.93 Co.upf
Na 22.99 Na.upf
Ho 164.93 Ho.upf
ATOMIC_POSITIONS crystal
O 0.788 0.577 0.306
O 0.263 0.526 0.289
O 0.212 0.982 0.694
O 0.770 0.982 0.694
O 0.230 0.018 0.306
O 0.737 0.474 0.711
O 0.788 0.018 0.306
O 0.212 0.423 0.694
Co 0.000 0.000 0.500
Na 0.500 0.500 0.000
Na 0.000 0.000 0.000
Na 0.000 0.500 0.000
Ho 0.500 0.500 0.500
Ho 0.500 0.000 0.500
Ho 0.000 0.500 0.500
CELL_PARAMETERS angstrom
6.595 0.000 -0.001
-3.297 5.711 -0.020
-0.001 -3.789 5.541
! DFT total energy = -6.52 eV/atom

=====

Record 2
! PBE with a Hubbard U Na3Ho2CoO6, optimized geometry; values from VASP
&SYSTEM
  ibrav = 0, nat = 12, ntyp = 4
/
ATOMIC_SPECIES
Co 58.93 Co.upf
Ho 164.93 Ho.upf
O 16.00 O.upf
Na 22.99 Na.upf
ATOMIC_POSITIONS crystal
Co 0.000 0.000 0.000
Ho 0.333 0.667 0.000
Ho 0.667 0.333 0.000
O 0.069 0.378 0.207
O 0.931 0.622 0.793
O 0.252 0.252 0.790
O 0.748 0.748 0.210
O 0.622 0.931 0.793
O 0.378 0.069 0.207
Na 0.845 0.155 0.500
Na 0.500 0.500 0.500
Na 0.155 0.845 0.500
CELL_PARAMETERS angstrom
-0.822 4.417 3.463
1.470 -5.033 2.164
5.151 1.568 -2.314
! DFT total energy = -6.23 eV/atom